No. 1
{
  "formula": "CsIBr3",
  "functional": "PBE",
  "state": "optimized geometry",
  "lattice_angstrom": [[-2.890, 5.599, -5.932], [-7.998, -0.711, 3.226], [-4.293, 7.162, 2.540]],
  "species": ["Cs", "Cs", "I", "I", "Br", "Br", "Br", "Br", "Br", "Br"],
  "fractional_positions": [[0.750, 0.250, 0.500], [0.250, 0.750, 0.500], [0.500, 0.500, 0.000], [0.000, 0.000, 0.000], [0.218, 0.218, 0.563], [0.782, 0.782, 0.437], [0.276, 0.276, 0.000], [0.724, 0.724, 0.000], [0.724, 0.276, 0.000], [0.276, 0.724, 0.000]],
  "formation_energy_uncorrected_ev_per_atom": -0.764,
  "total_energy_ev_per_atom": -2.248,
  "spacegroup": "No. 139"
}

No. 2
{
  "formula": "Cs2I2Br",
  "functional": "PBE",
  "state": "optimized geometry",
  "lattice_angstrom": [[-1.054, -3.957, -2.701], [9.027, 3.240, -3.814], [5.355, -6.379, 7.256]],
  "species": ["Cs", "Cs", "Cs", "Cs", "I", "I", "I", "I", "Br", "Br"],
  "fractional_positions": [[0.181, 0.363, 0.072], [0.000, 0.000, 0.793], [0.819, 0.637, 0.572], [0.000, 0.000, 0.293], [0.805, 0.609, 0.222], [0.339, 0.677, 0.864], [0.195, 0.391, 0.722], [0.661, 0.323, 0.364], [0.542, 0.083, 0.034], [0.458, 0.917, 0.534]],
  "formation_energy_uncorrected_ev_per_atom": -1.203,
  "total_energy_ev_per_atom": -2.499,
  "spacegroup": "No. 36"
}

No. 3
{
  "formula": "Cs4I3Br12",
  "functional": "PBE",
  "state": "optimized geometry",
  "lattice_angstrom": [[10.534, 0.000, -3.724], [-5.267, 9.123, -3.724], [0.000, 0.000, 11.173]],
  "species": ["Cs", "Cs", "Cs", "Cs", "I", "I", "I", "Br", "Br", "Br", "Br", "Br", "Br", "Br", "Br", "Br", "Br", "Br", "Br"],
  "fractional_positions": [[0.500, 0.500, 0.500], [0.500, 0.000, 0.000], [0.000, 0.000, 0.500], [0.000, 0.500, 0.000], [0.500, 0.500, 0.000], [0.000, 0.500, 0.500], [0.500, 0.000, 0.500], [0.147, 0.657, 0.804], [0.853, 0.343, 0.196], [0.147, 0.343, 0.490], [0.343, 0.196, 0.853], [0.804, 0.147, 0.657], [0.510, 0.853, 0.657], [0.657, 0.510, 0.853], [0.196, 0.853, 0.343], [0.853, 0.657, 0.510], [0.657, 0.804, 0.147], [0.490, 0.147, 0.343], [0.343, 0.490, 0.147]],
  "formation_energy_uncorrected_ev_per_atom": -0.746,
  "total_energy_ev_per_atom": -2.227,
  "spacegroup": "No. 204"
}

No. 4
{
  "formula": "Cs2IBr4",
  "functional": "PBE",
  "state": "optimized geometry",
  "lattice_angstrom": [[-2.176, 0.656, -5.437], [0.061, -5.847, -0.730], [-9.813, -3.117, 0.357]],
  "species": ["Cs", "Cs", "I", "Br", "Br", "Br", "Br"],
  "fractional_positions": [[0.639, 0.639, 0.722], [0.361, 0.361, 0.278], [0.000, 0.000, 0.000], [0.830, 0.830, 0.340], [0.170, 0.170, 0.660], [0.000, 0.500, 0.000], [0.500, 0.000, 0.000]],
  "formation_energy_uncorrected_ev_per_atom": -0.958,
  "total_energy_ev_per_atom": -2.379,
  "spacegroup": "No. 139"
}